Record 1
The following is a DFT calculation (GGA-PBE) of an optimized crystal structure of Cs3SmCu2I8.

The uncorrected formation energy comes out at -14.9 eV per formula unit. The calculation puts the density of states at the Fermi level at 0.00 states/eV per cell. The calculation puts the final energy at -3.058 eV/atom. The value obtained for the density is 4.234 g cm⁻³.

Cell lengths 8.4683, 8.4683, 10.6812 Å; angles 90.00, 90.00, 120.00 degrees
Closest atoms and distances in Å follow each position.
Space group P-3m1 (No. 164)
Asymmetric unit:
Cs (0.0000, 0.0000, 0.0000) [1 per cell]  6 I 4.25
Cs (0.3333, 0.6667, 0.6393) [2 per cell]  1 I 3.69
Sm (0.0000, 0.0000, 0.5000) [1 per cell]  6 I 3.09
Cu (0.3333, 0.6667, 0.2182) [2 per cell]  4 I 2.49-2.69
I (0.1675, 0.3350, 0.3251) [6 per cell]  1 Cu 2.69
I (0.3333, 0.6667, 0.9848) [2 per cell]  1 Cu 2.49



Record 2
The following is a DFT calculation (GGA-PBE) of an optimized crystal structure of CsRhCl2.

The uncorrected formation energy comes out at -2.7 eV per formula unit. The calculation puts the density of states at the Fermi level at 6.06 states/eV per cell. The calculation puts the final energy at -3.638 eV/atom. The value obtained for the density is 3.814 g cm⁻³. For the energy above the most stable polymorph in this dataset, the calculation gives 0.00 eV/f.u.

Cell lengths 6.1986, 6.1986, 13.9031 Å; angles 90.00, 90.00, 90.00 degrees
Closest atoms and distances in Å follow each position.
Space group I-42d (No. 122)
Asymmetric unit:
Cs (0.0000, 0.0000, 0.0000) [4 per cell]  4 Cl 3.43
Rh (0.0000, 0.0000, 0.5000) [4 per cell]  4 Cl 2.40
Cl (0.0938, 0.2500, 0.6250) [8 per cell]  2 Rh 2.40



Record 3
The following is a DFT calculation (GGA-PBE) of an optimized crystal structure of BaGe2Pb2.

The calculation puts the density of states at the Fermi level at 5.67 states/eV per cell. The calculation puts the final energy at -3.742 eV/atom. The value obtained for the density is 7.758 g cm⁻³. The value obtained for the formation enthalpy at 0 K is -0.14 eV per formula unit. For the energy above the most stable polymorph in this dataset, the calculation gives 1.16 eV/f.u.

Cell lengths 8.9273, 8.9273, 3.7440 Å; angles 90.00, 90.00, 90.00 degrees
Closest atoms and distances in Å follow each position.
Space group P4/mbm (No. 127)
Asymmetric unit:
Ba (0.0000, 0.0000, 0.0000) [2 per cell]  4 Pb 3.51, 2 Ba 3.74, 8 Ge 3.85
Ge (0.1584, 0.3416, 0.5000) [4 per cell]  6 Pb 3.18-3.28
Pb (0.1278, 0.6278, 0.0000) [4 per cell]  6 Ge 3.18-3.28, 1 Pb 3.23, 2 Ba 3.51



Record 4
The following is a DFT calculation (GGA-PBE) of an optimized crystal structure of MgPa2Sn.

The calculation puts the density of states at the Fermi level at 5.96 states/eV per cell. The calculation puts the final energy at -6.211 eV/atom. The value obtained for the density is 10.579 g cm⁻³. The value obtained for the formation enthalpy at 0 K is -0.25 eV per formula unit. For the energy above the most stable polymorph in this dataset, the calculation gives 0.00 eV/f.u.

Cell lengths 4.3103, 4.3103, 5.1124 Å; angles 90.00, 90.00, 90.00 degrees
Closest atoms and distances in Å follow each position.
Space group P4/mmm (No. 123)
Asymmetric unit:
Mg (0.0000, 0.0000, 0.0000) [1 per cell]  4 Sn 3.05, 8 Pa 3.34
Pa (0.0000, 0.5000, 0.5000) [2 per cell]  4 Pa 3.05, 4 Sn 3.34, 4 Mg 3.34
Sn (0.5000, 0.5000, 0.0000) [1 per cell]  4 Mg 3.05, 8 Pa 3.34